The following is a GGA+U calculation of a relaxed Rb2ZnNi3F12 crystal, from Alexandria via LeMat-Bulk.

a = 7.2790 Å, b = 7.2790 Å, c = 7.2790 Å
α = 59.91°, β = 59.91°, γ = 59.91°
With the nearest neighbours (Å) after each atom.
Positions (direct):
Rb (0.6240, 0.6240, 0.6240)  6 F 3.09-3.15
Rb (0.3760, 0.3760, 0.3760)  6 F 3.09-3.15
Zn (0.0000, 0.0000, 0.0000)  6 F 2.03
Ni (0.5000, 0.0000, 0.0000)  6 F 1.93-1.95
Ni (0.0000, 0.5000, 0.0000)  6 F 1.93-1.95
Ni (0.0000, 0.0000, 0.5000)  6 F 1.93-1.95
F (0.3181, 0.3181, 0.9247)  2 Ni 1.95
F (0.9239, 0.9239, 0.3343)  1 Ni 1.93, 1 Zn 2.03
F (0.3343, 0.9239, 0.9239)  1 Ni 1.93, 1 Zn 2.03
F (0.9247, 0.3181, 0.3181)  2 Ni 1.95
F (0.9239, 0.3343, 0.9239)  1 Ni 1.93, 1 Zn 2.03
F (0.3181, 0.9247, 0.3181)  2 Ni 1.95
F (0.6819, 0.6819, 0.0753)  2 Ni 1.95
F (0.0761, 0.0761, 0.6657)  1 Ni 1.93, 1 Zn 2.03
F (0.6657, 0.0761, 0.0761)  1 Ni 1.93, 1 Zn 2.03
F (0.0753, 0.6819, 0.6819)  2 Ni 1.95
F (0.0761, 0.6657, 0.0761)  1 Ni 1.93, 1 Zn 2.03
F (0.6819, 0.0753, 0.6819)  2 Ni 1.95

Calculated values
- M_tot: 8.009 μB per formula unit
- Space-group type: No. 166
- VASP energy: -4.001 eV/atom